# 1
! TiIr2 (PBE, optimized geometry); values from VASP
&SYSTEM
  ibrav = 0, nat = 6, ntyp = 2
/
ATOMIC_SPECIES
Ti 47.87 Ti.upf
Ir 192.22 Ir.upf
CELL_PARAMETERS angstrom
4.3268 -1.9572 0.0000
4.3268 1.9572 0.0000
-1.4745 0.0000 5.2423
ATOMIC_POSITIONS angstrom
Ti 0.8284 0.0000 1.6654
Ti 6.3507 0.0000 3.5769
Ir 0.2952 0.0000 4.3367
Ir 4.3268 0.0000 0.0000
Ir 3.5895 0.0000 2.6211
Ir 6.8839 0.0000 0.9056
! - Fermi-level density of states: 1.57 states/eV/f.u.
! - Space group: C2/m

# 2
! TiIr (PBE, optimized geometry); values from VASP
&SYSTEM
  ibrav = 0, nat = 12, ntyp = 2
/
ATOMIC_SPECIES
Ti 47.87 Ti.upf
Ir 192.22 Ir.upf
CELL_PARAMETERS angstrom
7.1713 0.0000 0.0000
-3.5857 6.2105 0.0000
0.0000 0.0000 4.5989
ATOMIC_POSITIONS angstrom
Ti -0.4900 1.7710 1.1497
Ti -1.8069 5.7494 1.1497
Ti 1.2887 1.3099 3.4492
Ti 2.2969 4.9007 1.1497
Ti 5.3926 0.4611 3.4492
Ti 4.0757 4.4395 3.4492
Ir -0.8810 2.8732 3.4492
Ir -0.6569 5.5369 3.4492
Ir 2.0477 2.1996 1.1497
Ir 1.5379 4.0110 3.4492
Ir 4.2425 0.6736 1.1497
Ir 4.4667 3.3374 1.1497
! - Fermi-level density of states: 1.32 states/eV/f.u.
! - Space group: P6_3/m

# 3
! TiIr (PBE, optimized geometry); values from VASP
&SYSTEM
  ibrav = 0, nat = 8, ntyp = 2
/
ATOMIC_SPECIES
Ti 47.87 Ti.upf
Ir 192.22 Ir.upf
CELL_PARAMETERS angstrom
5.1240 0.0000 0.0000
0.0000 5.1240 0.0000
0.0000 0.0000 5.1131
ATOMIC_POSITIONS angstrom
Ti 1.0739 1.0739 0.0000
Ti 1.4881 3.6359 2.5565
Ti 3.6359 1.4881 2.5565
Ti 4.0501 4.0501 0.0000
Ir 1.0668 1.0668 2.5565
Ir 1.4952 3.6288 0.0000
Ir 3.6288 1.4952 0.0000
Ir 4.0573 4.0573 2.5565
! - Fermi-level density of states: 1.53 states/eV/f.u.
! - Space group: P4_2/mnm

# 4
! TiIr (PBE, optimized geometry); values from VASP
&SYSTEM
  ibrav = 0, nat = 16, ntyp = 2
/
ATOMIC_SPECIES
Ti 47.87 Ti.upf
Ir 192.22 Ir.upf
CELL_PARAMETERS angstrom
4.7975 0.0000 0.0000
0.0000 5.1219 0.0000
0.0000 0.0000 10.3883
ATOMIC_POSITIONS angstrom
Ti 0.7063 0.6922 3.2149
Ti 0.7633 3.0377 5.4763
Ti 1.6354 2.0842 0.2821
Ti 1.6924 4.4298 8.4090
Ti 3.1051 1.8688 7.1734
Ti 3.1621 4.6452 4.9120
Ti 4.0342 0.4768 10.1062
Ti 4.0912 3.2532 1.9793
Ir 0.7322 1.9549 7.9975
Ir 0.8913 0.4563 5.7271
Ir 1.5074 4.6657 0.5329
Ir 1.6666 3.1670 2.8034
Ir 3.1310 0.6060 2.3908
Ir 3.2901 2.1047 4.6612
Ir 3.9062 3.0172 9.8554
Ir 4.0653 4.5159 7.5849
! - Fermi-level density of states: 1.11 states/eV/f.u.
! - Space group: P2_12_12_1

The calculation returns the following final energy values, one per record and in order: -9.280; -8.839; -8.706; -9.101 eV per atom.